First-principles (GGA-PBE) data for crystalline TaRePb at its relaxed geometry, as listed in the Alexandria database.

Cell and atoms, written as CIF:
```
data_TaRePb
_chemical_formula_sum 'Ta1 Re1 Pb1'
_symmetry_space_group_name_H-M 'P 3 m 1'
_symmetry_Int_Tables_number 156
_cell_length_a 4.7320
_cell_length_b 4.7320
_cell_length_c 2.9214
_cell_angle_alpha 90.00
_cell_angle_beta 90.00
_cell_angle_gamma 120.00
loop_
_symmetry_equiv_pos_as_xyz
'x,y,z'
'-y,x-y,z'
'-x+y,-x,z'
'-y,-x,z'
'-x+y,y,z'
'x,x-y,z'
loop_
_atom_site_label
_atom_site_type_symbol
_atom_site_fract_x
_atom_site_fract_y
_atom_site_fract_z
_atom_site_occupancy
Ta1 Ta 0.0000 0.0000 0.0000 1
Re1 Re 0.3333 0.6667 0.6149 1
Pb1 Pb 0.6667 0.3333 0.5305 1
```



First-principles (GGA-PBE) data for crystalline Ta2RePb at its relaxed geometry, as listed in the Alexandria database.

Cell and atoms, written as CIF:
```
data_Ta2RePb
_chemical_formula_sum 'Ta4 Re2 Pb2'
_symmetry_space_group_name_H-M 'C m m m'
_symmetry_Int_Tables_number 65
_symmetry_space_group_name_Hall '-C 2 2'
_cell_length_a 5.818
_cell_length_b 7.892
_cell_length_c 3.221
_cell_angle_alpha 90.00
_cell_angle_beta 90.00
_cell_angle_gamma 90.00
loop_
_atom_site_label
_atom_site_type_symbol
_atom_site_fract_x
_atom_site_fract_y
_atom_site_fract_z
_atom_site_occupancy
Ta1 Ta 0.250 0.250 0.000 1
Re1 Re 0.000 0.000 0.500 1
Pb1 Pb 0.000 0.500 0.500 1
```



First-principles (GGA-PBE) data for crystalline TaRe2Pb at its relaxed geometry, as listed in the Alexandria database.

Cell and atoms, written as CIF:
```
data_TaRe2Pb
_chemical_formula_sum 'Ta1 Re2 Pb1'
_symmetry_space_group_name_H-M 'P 4 m m'
_symmetry_Int_Tables_number 99
_cell_length_a 3.019
_cell_length_b 3.019
_cell_length_c 8.098
_cell_angle_alpha 90.00
_cell_angle_beta 90.00
_cell_angle_gamma 90.00
loop_
_symmetry_equiv_pos_as_xyz
'x,y,z'
'-y,x,z'
'-x,-y,z'
'y,-x,z'
'-x,y,z'
'y,x,z'
'x,-y,z'
'-y,-x,z'
loop_
_atom_site_label
_atom_site_type_symbol
_atom_site_fract_x
_atom_site_fract_y
_atom_site_fract_z
_atom_site_occupancy
Ta1 Ta 0.000 0.000 0.000 1
Re1 Re 0.000 0.000 0.574 1
Re2 Re 0.500 0.500 0.764 1
Pb1 Pb 0.500 0.500 0.297 1
```



First-principles (GGA-PBE) data for crystalline TaRe2Pb at its relaxed geometry, as listed in the Alexandria database.

Cell and atoms, written as CIF:
```
data_TaRe2Pb
_chemical_formula_sum 'Ta1 Re2 Pb1'
_symmetry_space_group_name_H-M 'P m m m'
_symmetry_Int_Tables_number 47
_cell_length_a 3.066
_cell_length_b 4.080
_cell_length_c 6.048
_cell_angle_alpha 90.00
_cell_angle_beta 90.00
_cell_angle_gamma 90.00
loop_
_symmetry_equiv_pos_as_xyz
'x,y,z'
'-x,-y,-z'
'-x,-y,z'
'x,y,-z'
'x,-y,-z'
'-x,y,z'
'-x,y,-z'
'x,-y,z'
loop_
_atom_site_label
_atom_site_type_symbol
_atom_site_fract_x
_atom_site_fract_y
_atom_site_fract_z
_atom_site_occupancy
Ta1 Ta 0.000 0.000 0.000 1
Re1 Re 0.500 0.500 0.196 1
Pb1 Pb 0.000 0.000 0.500 1
```



First-principles (GGA-PBE) data for crystalline TaRePb at its relaxed geometry, as listed in the Alexandria database.

Cell and atoms, written as CIF:
```
data_TaRePb
_chemical_formula_sum 'Ta1 Re1 Pb1'
_symmetry_space_group_name_H-M 'P 3 m 1'
_symmetry_Int_Tables_number 156
_cell_length_a 3.2358
_cell_length_b 3.2358
_cell_length_c 7.0415
_cell_angle_alpha 90.00
_cell_angle_beta 90.00
_cell_angle_gamma 120.00
loop_
_symmetry_equiv_pos_as_xyz
'x,y,z'
'-y,x-y,z'
'-x+y,-x,z'
'-y,-x,z'
'-x+y,y,z'
'x,x-y,z'
loop_
_atom_site_label
_atom_site_type_symbol
_atom_site_fract_x
_atom_site_fract_y
_atom_site_fract_z
_atom_site_occupancy
Ta1 Ta 0.0000 0.0000 0.0000 1
Re1 Re 0.3333 0.6667 0.7571 1
Pb1 Pb 0.6667 0.3333 0.3877 1
```



First-principles (GGA-PBE) data for crystalline TaRePb at its relaxed geometry, as listed in the Alexandria database.

Cell and atoms, written as CIF:
```
data_TaRePb
_chemical_formula_sum 'Ta2 Re2 Pb2'
_symmetry_space_group_name_H-M 'I 4 m m'
_symmetry_Int_Tables_number 107
_symmetry_space_group_name_Hall 'I 4 -2'
_cell_length_a 3.209
_cell_length_b 3.209
_cell_length_c 11.711
_cell_angle_alpha 90.00
_cell_angle_beta 90.00
_cell_angle_gamma 90.00
loop_
_atom_site_label
_atom_site_type_symbol
_atom_site_fract_x
_atom_site_fract_y
_atom_site_fract_z
_atom_site_occupancy
Ta1 Ta 0.000 0.000 0.000 1
Re1 Re 0.000 0.000 0.619 1
Pb1 Pb 0.000 0.000 0.297 1
```



First-principles (GGA-PBE) data for crystalline Ta2RePb at its relaxed geometry, as listed in the Alexandria database.

Cell and atoms, written as CIF:
```
data_Ta2RePb
_chemical_formula_sum 'Ta2 Re1 Pb1'
_symmetry_space_group_name_H-M 'P 4/m m m'
_symmetry_Int_Tables_number 123
_symmetry_space_group_name_Hall '-P 4 2'
_cell_length_a 3.127
_cell_length_b 3.127
_cell_length_c 8.046
_cell_angle_alpha 90.00
_cell_angle_beta 90.00
_cell_angle_gamma 90.00
loop_
_atom_site_label
_atom_site_type_symbol
_atom_site_fract_x
_atom_site_fract_y
_atom_site_fract_z
_atom_site_occupancy
Ta1 Ta 0.000 0.000 0.200 1
Re1 Re 0.500 0.500 0.000 1
Pb1 Pb 0.500 0.500 0.500 1
```



First-principles (GGA-PBE) data for crystalline Ta2RePb at its relaxed geometry, as listed in the Alexandria database.

Cell and atoms, written as CIF:
```
data_Ta2RePb
_chemical_formula_sum 'Ta2 Re1 Pb1'
_symmetry_space_group_name_H-M 'P m m 2'
_symmetry_Int_Tables_number 25
_cell_length_a 3.211
_cell_length_b 3.986
_cell_length_c 6.097
_cell_angle_alpha 90.00
_cell_angle_beta 90.00
_cell_angle_gamma 90.00
loop_
_symmetry_equiv_pos_as_xyz
'x,y,z'
'-x,-y,z'
'-x,y,z'
'x,-y,z'
loop_
_atom_site_label
_atom_site_type_symbol
_atom_site_fract_x
_atom_site_fract_y
_atom_site_fract_z
_atom_site_occupancy
Ta1 Ta 0.000 0.000 0.000 1
Ta2 Ta 0.500 0.500 0.226 1
Re1 Re 0.500 0.500 0.815 1
Pb1 Pb 0.000 0.000 0.511 1
```



First-principles (GGA-PBE) data for crystalline Ta2RePb at its relaxed geometry, as listed in the Alexandria database.

Cell and atoms, written as CIF:
```
data_Ta2RePb
_chemical_formula_sum 'Ta2 Re1 Pb1'
_symmetry_space_group_name_H-M 'P m m m'
_symmetry_Int_Tables_number 47
_cell_length_a 3.144
_cell_length_b 3.939
_cell_length_c 6.104
_cell_angle_alpha 90.00
_cell_angle_beta 90.00
_cell_angle_gamma 90.00
loop_
_symmetry_equiv_pos_as_xyz
'x,y,z'
'-x,-y,-z'
'-x,-y,z'
'x,y,-z'
'x,-y,-z'
'-x,y,z'
'-x,y,-z'
'x,-y,z'
loop_
_atom_site_label
_atom_site_type_symbol
_atom_site_fract_x
_atom_site_fract_y
_atom_site_fract_z
_atom_site_occupancy
Ta1 Ta 0.000 0.000 0.215 1
Re1 Re 0.500 0.500 0.000 1
Pb1 Pb 0.500 0.500 0.500 1
```



First-principles (GGA-PBE) data for crystalline TaRePb2 at its relaxed geometry, as listed in the Alexandria database.

Cell and atoms, written as CIF:
```
data_TaRePb2
_chemical_formula_sum 'Ta1 Re1 Pb2'
_symmetry_space_group_name_H-M 'P 1 m 1'
_symmetry_Int_Tables_number 6
_cell_length_a 3.314
_cell_length_b 3.310
_cell_length_c 8.633
_cell_angle_alpha 90.00
_cell_angle_beta 90.86
_cell_angle_gamma 90.00
loop_
_symmetry_equiv_pos_as_xyz
'x,y,z'
'x,-y,z'
loop_
_atom_site_label
_atom_site_type_symbol
_atom_site_fract_x
_atom_site_fract_y
_atom_site_fract_z
_atom_site_occupancy
Ta1 Ta 0.000 0.000 0.000 1
Re1 Re 0.504 0.500 0.143 1
Pb1 Pb 0.014 0.000 0.384 1
Pb2 Pb 0.488 0.500 0.742 1
```



First-principles (GGA-PBE) data for crystalline TaRe2Pb at its relaxed geometry, as listed in the Alexandria database.

Cell and atoms, written as CIF:
```
data_TaRe2Pb
_chemical_formula_sum 'Ta2 Re4 Pb2'
_symmetry_space_group_name_H-M 'I m m m'
_symmetry_Int_Tables_number 71
_symmetry_space_group_name_Hall '-I 2 2'
_cell_length_a 3.305
_cell_length_b 4.689
_cell_length_c 9.120
_cell_angle_alpha 90.00
_cell_angle_beta 90.00
_cell_angle_gamma 90.00
loop_
_atom_site_label
_atom_site_type_symbol
_atom_site_fract_x
_atom_site_fract_y
_atom_site_fract_z
_atom_site_occupancy
Ta1 Ta 0.000 0.000 0.000 1
Re1 Re 0.000 0.500 0.261 1
Pb1 Pb 0.000 0.000 0.500 1
```



First-principles (GGA-PBE) data for crystalline Ta2RePb at its relaxed geometry, as listed in the Alexandria database.

Cell and atoms, written as CIF:
```
data_Ta2RePb
_chemical_formula_sum 'Ta6 Re3 Pb3'
_symmetry_space_group_name_H-M 'R -3 m'
_symmetry_Int_Tables_number 166
_symmetry_space_group_name_Hall '-R 3 2"'
_cell_length_a 3.2012
_cell_length_b 3.2012
_cell_length_c 26.8120
_cell_angle_alpha 90.00
_cell_angle_beta 90.00
_cell_angle_gamma 120.00
loop_
_atom_site_label
_atom_site_type_symbol
_atom_site_fract_x
_atom_site_fract_y
_atom_site_fract_z
_atom_site_occupancy
Ta1 Ta 0.0000 0.0000 0.2383 1
Re1 Re 0.0000 0.0000 0.5000 1
Pb1 Pb 0.0000 0.0000 0.0000 1
```



First-principles (GGA-PBE) data for crystalline Ta2RePb at its relaxed geometry, as listed in the Alexandria database.

Cell and atoms, written as CIF:
```
data_Ta2RePb
_chemical_formula_sum 'Ta4 Re2 Pb2'
_symmetry_space_group_name_H-M 'C m m 2'
_symmetry_Int_Tables_number 35
_cell_length_a 3.317
_cell_length_b 4.967
_cell_length_c 9.303
_cell_angle_alpha 90.00
_cell_angle_beta 90.00
_cell_angle_gamma 90.00
loop_
_symmetry_equiv_pos_as_xyz
'x,y,z'
'-x,-y,z'
'-x,y,z'
'x,-y,z'
'x+1/2,y+1/2,z'
'-x+1/2,-y+1/2,z'
'-x+1/2,y+1/2,z'
'x+1/2,-y+1/2,z'
loop_
_atom_site_label
_atom_site_type_symbol
_atom_site_fract_x
_atom_site_fract_y
_atom_site_fract_z
_atom_site_occupancy
Ta1 Ta 0.000 0.000 0.000 1
Ta2 Ta 0.000 0.500 0.245 1
Re1 Re 0.000 0.500 0.781 1
Pb1 Pb 0.000 0.000 0.516 1
```



First-principles (GGA-PBE) data for crystalline TaRePb2 at its relaxed geometry, as listed in the Alexandria database.

Cell and atoms, written as CIF:
```
data_TaRePb2
_chemical_formula_sum 'Ta4 Re4 Pb8'
_symmetry_space_group_name_H-M 'I -4 2 d'
_symmetry_Int_Tables_number 122
_symmetry_space_group_name_Hall 'I -4 2bw'
_cell_length_a 4.160
_cell_length_b 4.160
_cell_length_c 20.686
_cell_angle_alpha 90.00
_cell_angle_beta 90.00
_cell_angle_gamma 90.00
loop_
_atom_site_label
_atom_site_type_symbol
_atom_site_fract_x
_atom_site_fract_y
_atom_site_fract_z
_atom_site_occupancy
Ta1 Ta 0.000 0.000 0.000 1
Re1 Re 0.000 0.000 0.500 1
Pb1 Pb 0.248 0.250 0.625 1
```



First-principles (GGA-PBE) data for crystalline TaRe2Pb at its relaxed geometry, as listed in the Alexandria database.

Cell and atoms, written as CIF:
```
data_TaRe2Pb
_chemical_formula_sum 'Ta2 Re4 Pb2'
_symmetry_space_group_name_H-M 'C 1 m 1'
_symmetry_Int_Tables_number 8
_cell_length_a 9.863
_cell_length_b 3.149
_cell_length_c 4.752
_cell_angle_alpha 90.00
_cell_angle_beta 105.02
_cell_angle_gamma 90.00
loop_
_symmetry_equiv_pos_as_xyz
'x,y,z'
'x,-y,z'
'x+1/2,y+1/2,z'
'x+1/2,-y+1/2,z'
loop_
_atom_site_label
_atom_site_type_symbol
_atom_site_fract_x
_atom_site_fract_y
_atom_site_fract_z
_atom_site_occupancy
Ta1 Ta 0.000 0.000 0.000 1
Re1 Re 0.024 0.500 0.563 1
Re2 Re 0.253 0.000 0.763 1
Pb1 Pb 0.267 0.500 0.278 1
```



First-principles (GGA-PBE) data for crystalline TaRePb2 at its relaxed geometry, as listed in the Alexandria database.

Cell and atoms, written as CIF:
```
data_TaRePb2
_chemical_formula_sum 'Ta1 Re1 Pb2'
_symmetry_space_group_name_H-M 'P 4/m m m'
_symmetry_Int_Tables_number 123
_symmetry_space_group_name_Hall '-P 4 2'
_cell_length_a 4.864
_cell_length_b 4.864
_cell_length_c 3.410
_cell_angle_alpha 90.00
_cell_angle_beta 90.00
_cell_angle_gamma 90.00
loop_
_atom_site_label
_atom_site_type_symbol
_atom_site_fract_x
_atom_site_fract_y
_atom_site_fract_z
_atom_site_occupancy
Ta1 Ta 0.000 0.000 0.000 1
Re1 Re 0.500 0.500 0.000 1
Pb1 Pb 0.000 0.500 0.500 1
```



First-principles (GGA-PBE) data for crystalline TaRePb at its relaxed geometry, as listed in the Alexandria database.

Cell and atoms, written as CIF:
```
data_TaRePb
_chemical_formula_sum 'Ta4 Re4 Pb4'
_symmetry_space_group_name_H-M 'F -4 3 m'
_symmetry_Int_Tables_number 216
_symmetry_space_group_name_Hall 'F -4 2 3'
_cell_length_a 6.432
_cell_length_b 6.432
_cell_length_c 6.432
_cell_angle_alpha 90.00
_cell_angle_beta 90.00
_cell_angle_gamma 90.00
loop_
_atom_site_label
_atom_site_type_symbol
_atom_site_fract_x
_atom_site_fract_y
_atom_site_fract_z
_atom_site_occupancy
Ta1 Ta 0.000 0.000 0.000 1
Re1 Re 0.250 0.250 0.250 1
Pb1 Pb 0.250 0.250 0.750 1
```



First-principles (GGA-PBE) data for crystalline TaRe3Pb at its relaxed geometry, as listed in the Alexandria database.

Cell and atoms, written as CIF:
```
data_TaRe3Pb
_chemical_formula_sum 'Ta1 Re3 Pb1'
_symmetry_space_group_name_H-M 'P m -3 m'
_symmetry_Int_Tables_number 221
_symmetry_space_group_name_Hall '-P 4 2 3'
_cell_length_a 4.859
_cell_length_b 4.859
_cell_length_c 4.859
_cell_angle_alpha 90.00
_cell_angle_beta 90.00
_cell_angle_gamma 90.00
loop_
_atom_site_label
_atom_site_type_symbol
_atom_site_fract_x
_atom_site_fract_y
_atom_site_fract_z
_atom_site_occupancy
Ta1 Ta 0.000 0.000 0.000 1
Re1 Re 0.000 0.000 0.500 1
Pb1 Pb 0.500 0.500 0.500 1
```



First-principles (GGA-PBE) data for crystalline TaRe2Pb at its relaxed geometry, as listed in the Alexandria database.

Cell and atoms, written as CIF:
```
data_TaRe2Pb
_chemical_formula_sum 'Ta1 Re2 Pb1'
_symmetry_space_group_name_H-M 'P 1 2/m 1'
_symmetry_Int_Tables_number 10
_cell_length_a 2.964
_cell_length_b 4.458
_cell_length_c 5.816
_cell_angle_alpha 90.00
_cell_angle_beta 94.50
_cell_angle_gamma 90.00
loop_
_symmetry_equiv_pos_as_xyz
'x,y,z'
'-x,-y,-z'
'-x,y,-z'
'x,-y,z'
loop_
_atom_site_label
_atom_site_type_symbol
_atom_site_fract_x
_atom_site_fract_y
_atom_site_fract_z
_atom_site_occupancy
Ta1 Ta 0.000 0.000 0.000 1
Re1 Re 0.377 0.500 0.197 1
Pb1 Pb 0.500 0.000 0.500 1
```



First-principles (GGA-PBE) data for crystalline TaRe2Pb at its relaxed geometry, as listed in the Alexandria database.

Cell and atoms, written as CIF:
```
data_TaRe2Pb
_chemical_formula_sum 'Ta1 Re2 Pb1'
_symmetry_space_group_name_H-M 'P 1 m 1'
_symmetry_Int_Tables_number 6
_cell_length_a 2.963
_cell_length_b 3.904
_cell_length_c 6.628
_cell_angle_alpha 90.00
_cell_angle_beta 92.67
_cell_angle_gamma 90.00
loop_
_symmetry_equiv_pos_as_xyz
'x,y,z'
'x,-y,z'
loop_
_atom_site_label
_atom_site_type_symbol
_atom_site_fract_x
_atom_site_fract_y
_atom_site_fract_z
_atom_site_occupancy
Ta1 Ta 0.000 0.000 0.000 1
Re1 Re 0.528 0.500 0.774 1
Re2 Re 0.974 0.000 0.617 1
Pb1 Pb 0.502 0.500 0.305 1
```



| no. | DFT total energy (hartree per atom) | total magnetic moment (Bohr magnetons per cell) |
| --- | --- | --- |
| 1 | -0.3179 | 0.000 |
| 2 | -0.3501 | 0.000 |
| 3 | -0.3561 | 0.000 |
| 4 | -0.3519 | 0.000 |
| 5 | -0.3251 | 0.000 |
| 6 | -0.3257 | 0.000 |
| 7 | -0.3583 | 0.000 |
| 8 | -0.3519 | 0.000 |
| 9 | -0.3535 | 0.000 |
| 10 | -0.2818 | 0.000 |
| 11 | -0.3468 | 0.000 |
| 12 | -0.3510 | 0.000 |
| 13 | -0.3510 | 0.000 |
| 14 | -0.2504 | 0.000 |
| 15 | -0.3504 | 0.000 |
| 16 | -0.2536 | 0.362 |
| 17 | -0.3066 | 0.000 |
| 18 | -0.3094 | 2.941 |
| 19 | -0.3483 | 0.000 |
| 20 | -0.3534 | 0.000 |